Ca2PmGa4 (PBE, relaxed); formation energy = -0.56 eV/atom; E_tot = -3.54 eV per atom
1.0
4.1747 0.0000 0.0000
0.0000 4.3078 0.0000
0.0000 0.0000 19.0504
Ca Pm Ga
4 2 8
Direct
0.0000 0.0000 0.1872
0.0000 0.0000 0.8128
0.5000 0.5000 0.3128
0.5000 0.5000 0.6872
0.0000 0.5000 0.0000
0.5000 0.0000 0.5000
0.0000 0.0000 0.3606
0.0000 0.0000 0.6394
0.0000 0.5000 0.4348
0.0000 0.5000 0.5652
0.5000 0.0000 0.0652
0.5000 0.0000 0.9348
0.5000 0.5000 0.1394
0.5000 0.5000 0.8606

---

AlZn3Cr (PBE, relaxed); formation energy = 1.24 eV/atom; E_tot = -2.20 eV per atom
1.0
4.6385 0.0000 0.0000
0.0000 4.6385 0.0000
0.0000 0.0000 4.6385
Al Zn Cr
1 3 1
Direct
0.0000 0.0000 0.0000
0.0000 0.0000 0.5000
0.0000 0.5000 0.0000
0.5000 0.0000 0.0000
0.5000 0.5000 0.5000

---

RbSmPbS3 (PBE, relaxed); E_tot = -4.99 eV per atom; formation energy (no corrections) = -131.21 kJ/mol of atoms
1.0
8.0166 0.0000 0.0000
0.0000 4.1160 0.0000
-3.7753 0.0000 11.5554
Rb Sm Pb S
2 2 2 6
Direct
0.0821 0.2500 0.1692
0.9179 0.7500 0.8308
0.4292 0.7500 0.8486
0.5708 0.2500 0.1514
0.2753 0.2500 0.5526
0.7247 0.7500 0.4474
0.1376 0.7500 0.6425
0.2806 0.2500 0.9485
0.4305 0.7500 0.2560
0.5695 0.2500 0.7440
0.7194 0.7500 0.0515
0.8624 0.2500 0.3575

---

DySc2Be (PBE, relaxed); formation energy = 0.68 eV/atom; E_tot = -4.57 eV per atom
1.0
3.2322 0.0000 0.0000
-1.6161 2.7992 0.0000
0.0000 0.0000 32.5764
Dy Sc Be
3 6 3
Direct
0.0000 0.0000 0.0000
0.3333 0.6667 0.6667
0.6667 0.3333 0.3333
0.0000 0.0000 0.4166
0.0000 0.0000 0.5834
0.3333 0.6667 0.0832
0.3333 0.6667 0.2501
0.6667 0.3333 0.7499
0.6667 0.3333 0.9168
0.0000 0.0000 0.5000
0.3333 0.6667 0.1667
0.6667 0.3333 0.8333